Computed, not measured: a relaxed structure of BaMnInWO6 at the PBE with a Hubbard U level of DFT.

Unit cell a=5.811 b=5.811 c=5.811 alpha=60.00 beta=60.00 gamma=60.00
Fractional coordinates of all 10 atoms:
Ba 0.000 0.000 0.000
Mn 0.750 0.750 0.750
In 0.500 0.500 0.500
W 0.250 0.250 0.250
O 0.012 0.012 0.488
O 0.012 0.488 0.012
O 0.012 0.488 0.488
O 0.488 0.012 0.012
O 0.488 0.012 0.488
O 0.488 0.488 0.012

calculated total energy	-6.815	eV/atom
theoretical density	7.0	g cm⁻³